Computed, not measured: an optimized crystal structure of Mn3Fe2SnP6O24 at the PBE+U level of DFT.

Lattice parameters (Å, degrees): 8.5967 8.5967 8.5967 60.54 60.54 60.54
Closest atoms and distances in Å follow each position.
Sites, in units of the cell vectors:
Mn  0.0000  0.0000  0.0000  6 O 1.93-2.02
Mn  0.2128  0.2128  0.2128  6 O 1.95-2.06
Mn  0.7138  0.7138  0.7138  6 O 1.98-2.08
Fe  0.3529  0.3529  0.3529  6 O 2.16-2.24
Fe  0.8560  0.8560  0.8560  6 O 2.20-2.21
Sn  0.4990  0.4990  0.4990  6 O 2.02-2.10
P  0.1039  0.8180  0.3968  4 O 1.52-1.59
P  0.3101  0.6096  0.9046  4 O 1.52-1.57
P  0.3968  0.1039  0.8180  4 O 1.52-1.59
P  0.6096  0.9046  0.3101  4 O 1.52-1.57
P  0.8180  0.3968  0.1039  4 O 1.52-1.59
P  0.9046  0.3101  0.6096  4 O 1.52-1.57
O  0.0334  0.8575  0.2443  1 P 1.53
O  0.0989  0.2924  0.4468  1 P 1.56
O  0.1131  0.7717  0.9185  1 P 1.57
O  0.1737  0.9682  0.3616  1 P 1.52
O  0.2443  0.0334  0.8575  1 P 1.53
O  0.2673  0.6191  0.4052  1 P 1.59
O  0.2924  0.4468  0.0989  1 P 1.56
O  0.3392  0.5507  0.7469  1 P 1.54
O  0.3616  0.1737  0.9682  1 P 1.52
O  0.4052  0.2673  0.6191  1 P 1.59
O  0.4468  0.0989  0.2924  1 P 1.56
O  0.4702  0.6647  0.8690  1 P 1.52
O  0.5506  0.7469  0.3392  1 P 1.54
O  0.5959  0.9489  0.7981  1 P 1.56
O  0.6191  0.4052  0.2673  1 P 1.59
O  0.6647  0.8690  0.4702  1 P 1.52
O  0.7469  0.3392  0.5506  1 P 1.54
O  0.7717  0.9185  0.1131  1 P 1.57
O  0.7981  0.5959  0.9489  1 P 1.56
O  0.8575  0.2443  0.0334  1 P 1.53
O  0.8690  0.4702  0.6647  1 P 1.52
O  0.9185  0.1131  0.7717  1 P 1.57
O  0.9489  0.7981  0.5959  1 P 1.56
O  0.9682  0.3616  0.1737  1 P 1.52

Computed properties:
As for the magnetization: 0.53 μB per atom. As for the total energy: -7.168 eV per atom.